1.
The following is a PBE calculation of crystalline BeZn2As at its relaxed geometry, from Alexandria.

Properties
magnetic moment	0.0	μB per formula unit
V	59	Å³ per cell
uncorrected energy	-9.87	eV per cell
space-group type	No. 123

Lattice parameters (Å, degrees): 2.7398 2.7398 7.9173 90.00 90.00 90.08
Fractional positions:
Zn 0.0000 0.0000 0.9475
Be 0.5000 0.5000 0.7500
Zn 0.0000 0.0000 0.5525
As 0.5000 0.5000 0.2500



2.
The following is a PBE calculation of crystalline MgFeRe at its relaxed geometry, from Alexandria.

Properties
magnetic moment	1.0	μB per formula unit
V	91	Å³ per cell
uncorrected energy	-43.76	eV per cell
space-group type	No. 74

Lattice parameters (Å, degrees): 5.0401 5.0401 5.0401 89.55 60.14 119.62
Last column: magnetic moment on the atom in μB.
Fractional positions:
Mg 0.2500 0.1245 0.6255  -0.01
Re 0.5000 0.5000 0.0000  -0.14
Re 0.0000 0.5000 0.5000  -0.14
Fe 0.5000 0.0000 0.0000  1.26
Mg 0.7500 0.8755 0.3745  -0.01
Fe 0.0000 0.5000 0.0000  1.26



3.
The following is a PBE calculation of crystalline RbPuCl6 at its relaxed geometry, from Alexandria.

Properties
magnetic moment	3.0	μB per formula unit
formation energy without anion corrections	-1.58	eV per atom
V	586	Å³ per cell
space-group type	No. 163

Lattice parameters (Å, degrees): 7.1507 7.1507 13.2225 90.00 90.00 120.00
Last column: magnetic moment on the atom in μB.
Fractional positions:
Cl 0.9385 0.6855 0.3900  -0.10
Cl 0.2530 0.9385 0.6100  -0.10
Cl 0.3145 0.2530 0.3900  -0.10
Cl 0.7470 0.6855 0.1100  -0.10
Rb 0.3333 0.6667 0.2500  0.00
Cl 0.0615 0.7470 0.8900  -0.10
Cl 0.9385 0.2530 0.1100  -0.10
Cl 0.6855 0.9385 0.8900  -0.10
Pu 0.0000 0.0000 0.5000  3.70
Cl 0.3145 0.0615 0.1100  -0.10
Pu 0.0000 0.0000 0.0000  3.70
Cl 0.7470 0.0615 0.3900  -0.10
Rb 0.6667 0.3333 0.7500  0.00
Cl 0.2530 0.3145 0.8900  -0.10
Cl 0.0615 0.3145 0.6100  -0.10
Cl 0.6855 0.7470 0.6100  -0.10



4.
The following is a PBE calculation of crystalline BaPtBr2 at its relaxed geometry, from Alexandria.

Properties
magnetic moment	0.0	μB per formula unit
formation energy without anion corrections	-1.01	eV per atom
V	139	Å³ per cell
space-group type	No. 8

Lattice parameters (Å, degrees): 6.5728 6.5728 4.9169 87.91 87.91 40.96
Fractional positions:
Pt 0.5103 0.5103 0.3265
Br 0.7389 0.7389 0.7446
Br 0.9927 0.9927 0.1766
Ba 0.2580 0.2580 0.2522



5.
The following is a PBE calculation of crystalline CeSi2SnIr5 at its relaxed geometry, from Alexandria.

Properties
magnetic moment	0.6	μB per formula unit
formation energy without anion corrections	-0.41	eV per atom
V	174	Å³ per cell
space-group type	No. 123

Lattice parameters (Å, degrees): 4.0241 4.0241 10.7654 90.00 90.00 90.00
Last column: magnetic moment on the atom in μB.
Fractional positions:
Ir 0.0000 0.5000 0.1696  0.01
Ir 0.5000 0.0000 0.1696  0.01
Ir 0.0000 0.5000 0.8304  0.01
Sn 0.0000 0.0000 0.0000  0.00
Si 0.5000 0.5000 0.7188  0.00
Ce 0.0000 0.0000 0.5000  0.49
Ir 0.5000 0.5000 0.5000  -0.04
Ir 0.5000 0.0000 0.8304  0.01
Si 0.5000 0.5000 0.2812  0.00



6.
The following is a PBE calculation of crystalline K3CdSb2O6 at its relaxed geometry, from Alexandria.

Properties
magnetic moment	0.9	μB per formula unit
formation energy without anion corrections	-1.34	eV per atom
V	238	Å³ per cell
space-group type	No. 164

Lattice parameters (Å, degrees): 6.1967 6.1967 7.1581 90.00 90.00 120.00
Last column: magnetic moment on the atom in μB.
Fractional positions:
K 0.0000 0.0000 0.0000  0.00
Sb 0.3333 0.6667 0.1836  0.05
Sb 0.6667 0.3333 0.8164  0.05
O 0.8298 0.6596 0.7004  0.09
O 0.1702 0.8298 0.2996  0.09
O 0.6596 0.8298 0.2996  0.09
O 0.8298 0.1702 0.7004  0.09
K 0.3333 0.6667 0.6464  0.00
K 0.6667 0.3333 0.3536  0.00
O 0.3404 0.1702 0.7004  0.09
Cd 0.0000 0.0000 0.5000  0.03
O 0.1702 0.3404 0.2996  0.09